[1]
First-principles (PBE) data for ErMgCd2Au4 after structural relaxation, as listed in Alexandria.

extended XYZ file:
```
8
Lattice="-1.825 -2.198 3.883 2.858 -2.654 2.833 1.949 4.786 6.618" Properties=species:S:1:pos:R:3 pbc="T T T"
Er 0.000 0.000 0.000
Mg 1.491 -0.033 6.667
Cd 2.237 -0.050 10.001
Cd 0.746 -0.016 3.334
Au 2.064 2.252 8.230
Au 1.646 -2.409 8.388
Au 1.337 2.343 4.947
Au 0.919 -2.318 5.105
```

Energy   -3.165 eV per atom
Calculated density   12.54 g cm⁻³
N(E_F)   1.96 states/eV/cell
Total moment   0.00 μB/f.u.

***

[2]
First-principles (PBE) data for ErMg2CdAu4 after structural relaxation, as listed in Alexandria.

extended XYZ file:
```
8
Lattice="-1.496 0.032 -4.530 -3.142 -3.263 -1.497 -7.618 3.835 0.030" Properties=species:S:1:pos:R:3 pbc="T T T"
Er 0.000 0.000 0.000
Mg -9.106 0.384 -4.527
Mg -3.150 0.221 -1.471
Cd -6.128 0.302 -2.999
Au -8.321 2.076 -2.262
Au -6.858 -1.435 -5.282
Au -5.398 2.039 -0.715
Au -3.935 -1.472 -3.735
```

Energy   -3.299 eV per atom
Calculated density   11.65 g cm⁻³
N(E_F)   3.56 states/eV/cell
Total moment   0.00 μB/f.u.

***

[3]
First-principles (PBE) data for NaErCdAu after structural relaxation, as listed in Alexandria.

extended XYZ file:
```
4
Lattice="-0.161 -0.004 -5.059 4.256 -0.625 -2.667 0.778 -4.301 -2.553" Properties=species:S:1:pos:R:3 pbc="T T T"
Na 0.000 0.000 0.000
Cd 3.655 -3.698 -7.709
Au 1.218 -1.233 -2.570
Er 2.437 -2.465 -5.140
```

Energy   -2.846 eV per atom
Calculated density   9.05 g cm⁻³
N(E_F)   3.15 states/eV/cell
Total moment   0.00 μB/f.u.

***

[4]
First-principles (PBE) data for NaErCd2Au4 after structural relaxation, as listed in Alexandria.

extended XYZ file:
```
8
Lattice="4.876 0.000 0.000 2.438 4.223 0.000 2.438 1.408 8.018" Properties=species:S:1:pos:R:3 pbc="T T T"
Na 0.000 0.000 0.000
Er 4.876 2.815 4.009
Cd 7.314 4.223 6.096
Cd 2.438 1.408 1.921
Au 4.876 2.815 6.965
Au 7.314 4.223 3.027
Au 2.438 1.408 4.991
Au 4.876 2.815 1.053
```

Energy   -3.055 eV per atom
Calculated density   12.10 g cm⁻³
N(E_F)   3.53 states/eV/cell
Total moment   0.00 μB/f.u.

***

[5]
First-principles (PBE) data for NdErCdAu after structural relaxation, as listed in Alexandria.

extended XYZ file:
```
4
Lattice="5.250 0.000 0.000 2.625 4.546 0.000 2.625 1.515 4.286" Properties=species:S:1:pos:R:3 pbc="T T T"
Nd 2.625 1.515 1.072
Cd 0.000 0.000 0.000
Au 5.250 3.031 2.143
Er 7.874 4.546 3.215
```

Energy   -3.910 eV per atom
Distance to the lowest polymorph of the same formula   0.16 eV/f.u.
Calculated density   10.08 g cm⁻³
N(E_F)   3.22 states/eV/cell
Total moment   0.00 μB/f.u.

***

[6]
First-principles (PBE) data for NdErCdAu after structural relaxation, as listed in Alexandria.

extended XYZ file:
```
4
Lattice="3.690 0.000 0.000 0.000 3.690 0.000 0.000 0.000 7.512" Properties=species:S:1:pos:R:3 pbc="T T T"
Nd 0.000 0.000 6.505
Er 0.000 0.000 2.544
Cd 1.845 1.845 4.422
Au 1.845 1.845 1.013
```

Energy   -3.950 eV per atom
Distance to the lowest polymorph of the same formula   0.00 eV/f.u.
Calculated density   10.08 g cm⁻³
N(E_F)   3.98 states/eV/cell
Total moment   0.20 μB/f.u.

***

[7]
First-principles (PBE) data for NdEr2CdAu4 after structural relaxation, as listed in Alexandria.

extended XYZ file:
```
8
Lattice="-0.758 3.997 2.913 -4.660 1.561 0.943 -2.107 -3.136 8.050" Properties=species:S:1:pos:R:3 pbc="T T T"
Nd 0.000 0.000 0.000
Er -5.635 1.955 8.742
Er -1.890 0.467 3.164
Cd -3.762 1.211 5.953
Au -3.872 -0.595 8.402
Au -5.527 3.745 6.315
Au -1.998 -1.323 5.591
Au -3.653 3.017 3.505
```

Energy   -4.220 eV per atom
Calculated density   12.56 g cm⁻³
N(E_F)   4.42 states/eV/cell
Total moment   0.00 μB/f.u.

***

[8]
First-principles (PBE) data for ErCdAuO4 after structural relaxation, as listed in Alexandria.

extended XYZ file:
```
14
Lattice="6.423 0.000 0.000 -3.211 6.107 -0.226 0.000 -3.497 5.752" Properties=species:S:1:pos:R:3 pbc="T T T"
Er 3.211 -1.749 2.876
Er 3.211 0.000 0.000
Cd 3.211 4.022 0.476
Cd 0.000 -1.413 5.050
Au 1.606 1.305 2.763
Au -1.606 1.305 2.763
O 3.211 0.447 3.770
O -1.377 4.889 1.003
O 1.377 4.889 1.003
O 3.211 1.804 1.538
O 0.000 0.805 3.987
O 4.589 -2.280 4.523
O 1.834 -2.280 4.523
O 0.000 2.162 1.756
```

Energy   -5.584 eV per atom
Calculated density   8.14 g cm⁻³
N(E_F)   0.67 states/eV/cell
E_form (uncorrected)   -1500 meV/atom
Total moment   0.00 μB/f.u.